## one
DFT (PBE) results for a relaxed structure of AlHRu.

Calculated values
As for the density: 5.8 g cm⁻³. The space-group type is No. 12.

Cell: 2.7952 4.3750 6.7195 Å, 105.91 90.00 108.63°
Sites, in units of the cell vectors:
H 0.6479 0.2957 0.2732
H 0.3521 0.7043 0.7268
Ru 0.8348 0.6695 0.8935
Ru 0.1652 0.3305 0.1065
Al 0.0741 0.1483 0.7047
Al 0.9259 0.8517 0.2953

## two
DFT (PBE) results for a relaxed structure of AlHRu.

Calculated values
As for the density: 6.8 g cm⁻³. The space-group type is No. 71.

Cell: 3.0007 4.9419 4.9419 Å, 66.94 72.33 72.33°
Sites, in units of the cell vectors:
Al 0.5000 0.2475 0.7525
Al 0.5000 0.7525 0.2475
Ru 0.2173 0.7827 0.7827
Ru 0.7827 0.2173 0.2173
H 0.8405 0.6595 0.6595
H 0.1595 0.3405 0.3405

Least stable = one

## one
DFT (PBE) results for a relaxed structure of AlHS3.

Calculated values
As for the density: 2.1 g cm⁻³. The space-group type is No. 221.

Cell: 4.6276 4.6276 4.6276 Å, 90.00 90.00 90.00°
Sites, in units of the cell vectors:
S 0.0000 0.5000 0.0000
S 0.0000 0.0000 0.5000
S 0.5000 0.0000 0.0000
Al 0.0000 0.0000 0.0000
H 0.5000 0.5000 0.5000

## two
DFT (PBE) results for a relaxed structure of AlHS3.

Calculated values
As for the density: 3.1 g cm⁻³. The space-group type is No. 221.

Cell: 4.0713 4.0713 4.0713 Å, 90.00 90.00 90.00°
Sites, in units of the cell vectors:
S 0.5000 0.0000 0.0000
S 0.0000 0.5000 0.0000
S 0.0000 0.0000 0.5000
H 0.0000 0.0000 0.0000
Al 0.5000 0.5000 0.5000

Least stable = two

## one
DFT (PBE) results for a relaxed structure of Al2HS3.

Calculated values
As for the density: 2.5 g cm⁻³. The space-group type is No. 26.

Cell: 3.3755 5.9745 10.0345 Å, 90.00 90.00 90.00°
Sites, in units of the cell vectors:
S 0.5000 0.7531 0.3124
S 0.5000 0.2531 0.6876
S 0.0000 0.2484 0.3996
S 0.5000 0.6344 0.9024
S 0.0000 0.7484 0.6004
S 0.5000 0.1345 0.0976
H 0.0000 0.6787 0.0416
H 0.0000 0.1787 0.9584
Al 0.5000 0.9972 0.5008
Al 0.5000 0.4972 0.4992
Al 0.0000 0.3895 0.8418
Al 0.0000 0.8895 0.1582

## two
DFT (PBE) results for a relaxed structure of Al2HS3.

Calculated values
As for the density: 2.5 g cm⁻³. The space-group type is No. 63.

Cell: 6.1940 6.1886 6.1886 Å, 121.22 90.00 90.00°
Sites, in units of the cell vectors:
Al 0.5000 0.8177 0.1823
Al 0.0000 0.8177 0.1823
Al 0.5000 0.1823 0.8177
Al 0.0000 0.1823 0.8177
H 0.2499 0.3455 0.3455
H 0.7501 0.6545 0.6545
S 0.2500 0.5065 0.8608
S 0.7500 0.1392 0.4935
S 0.7500 0.4935 0.1392
S 0.2500 0.1212 0.1212
S 0.7500 0.8788 0.8788
S 0.2500 0.8608 0.5065

Least stable = one